# 1
Here is crystalline VTcCl at its relaxed geometry from Alexandria. Energies are from GGA-PBE.

a = 3.2588 Å, b = 16.8883 Å, c = 4.0794 Å
α = 90.00°, β = 90.00°, γ = 90.00°
Closest atoms and distances in Å follow each position.
Sites, in units of the cell vectors:
V (0.0000, 0.0465, 0.2500)  6 Tc 2.49-2.63, 2 Cl 2.54, 2 V 2.58
V (0.0000, 0.9535, 0.7500)  6 Tc 2.49-2.63, 2 Cl 2.54, 2 V 2.58
V (0.5000, 0.4535, 0.7500)  6 Tc 2.49-2.63, 2 Cl 2.54, 2 V 2.58
V (0.5000, 0.5465, 0.2500)  6 Tc 2.49-2.63, 2 Cl 2.54, 2 V 2.58
Tc (0.0000, 0.4347, 0.2500)  6 V 2.49-2.63, 2 Cl 2.61
Tc (0.0000, 0.5653, 0.7500)  6 V 2.49-2.63, 2 Cl 2.61
Tc (0.5000, 0.0653, 0.7500)  6 V 2.49-2.63, 2 Cl 2.61
Tc (0.5000, 0.9347, 0.2500)  6 V 2.49-2.63, 2 Cl 2.61
Cl (0.0000, 0.3384, 0.7500)  2 V 2.54, 2 Tc 2.61
Cl (0.0000, 0.6616, 0.2500)  2 V 2.54, 2 Tc 2.61
Cl (0.5000, 0.1616, 0.2500)  2 V 2.54, 2 Tc 2.61
Cl (0.5000, 0.8384, 0.7500)  2 V 2.54, 2 Tc 2.61

Results
volume = 18.71 Å³/atom
mass density = 5.5 g/cm³
raw formation energy = -7.12 kcal/mol of atoms
energy = -7.4191 eV/atom


# 2
Here is crystalline Sm3MgCo3 at its relaxed geometry from Alexandria. Energies are from GGA-PBE.

a = 5.4894 Å, b = 5.4894 Å, c = 13.4444 Å
α = 90.00°, β = 90.00°, γ = 134.20°
Closest atoms and distances in Å follow each position.
Sites, in units of the cell vectors:
Sm (0.0104, 0.9896, 0.7500)  7 Co 2.93-3.05
Sm (0.2996, 0.7004, 0.6040)  6 Co 2.96-3.04, 2 Mg 3.26
Sm (0.2996, 0.7004, 0.8960)  6 Co 2.96-3.04, 2 Mg 3.26
Sm (0.7004, 0.2996, 0.1040)  6 Co 2.96-3.04, 2 Mg 3.26
Sm (0.7004, 0.2996, 0.3960)  6 Co 2.96-3.04, 2 Mg 3.26
Sm (0.9896, 0.0104, 0.2500)  7 Co 2.93-3.05
Mg (0.0000, 0.0000, 0.0000)  4 Co 2.73
Mg (0.0000, 0.0000, 0.5000)  4 Co 2.73
Co (0.2911, 0.7089, 0.2500)  2 Co 2.28
Co (0.4034, 0.5966, 0.1031)  1 Co 2.28
Co (0.4034, 0.5966, 0.3969)  1 Co 2.28
Co (0.5966, 0.4034, 0.6031)  1 Co 2.28
Co (0.5966, 0.4034, 0.8969)  1 Co 2.28
Co (0.7089, 0.2911, 0.7500)  2 Co 2.28

Results
volume = 20.75 Å³/atom
mass density = 7.5 g/cm³
energy relative to the elements = -0.11 eV per atom
energy = -5.4089 eV/atom


# 3
Here is crystalline LiBeCd2Tc at its relaxed geometry from Alexandria. Energies are from GGA-PBE.

a = 4.4040 Å, b = 4.4040 Å, c = 4.3909 Å
α = 90.00°, β = 90.00°, γ = 90.00°
Closest atoms and distances in Å follow each position.
Sites, in units of the cell vectors:
Li (0.0000, 0.0000, 0.0000)  2 Tc 2.20, 4 Cd 2.20
Be (0.5000, 0.5000, 0.5000)  8 Cd 3.11, 4 Tc 3.11
Cd (0.0000, 0.5000, 0.0000)  2 Li 2.20
Cd (0.5000, 0.0000, 0.0000)  2 Li 2.20
Tc (0.0000, 0.0000, 0.5000)  2 Li 2.20

Results
volume = 17.03 Å³/atom
mass density = 6.6 g/cm³
energy relative to the elements = 1.03 eV per atom
energy = -2.5331 eV/atom


# 4
Here is crystalline CaInI6 at its relaxed geometry from Alexandria. Energies are from GGA-PBE.

a = 7.5935 Å, b = 7.5962 Å, c = 7.8669 Å
α = 61.26°, β = 62.04°, γ = 60.27°
Closest atoms and distances in Å follow each position.
Sites, in units of the cell vectors:
Ca (0.0000, 0.0000, 0.0000)  6 I 3.15-3.17
In (0.5000, 0.5000, 0.5000)  6 I 2.95-2.98
I (0.0838, 0.7320, 0.7457)  1 In 2.98, 1 Ca 3.16
I (0.2672, 0.5587, 0.2530)  1 In 2.95, 1 Ca 3.15
I (0.4387, 0.0798, 0.7499)  1 In 2.98, 1 Ca 3.17
I (0.5613, 0.9202, 0.2501)  1 In 2.98, 1 Ca 3.17
I (0.7328, 0.4413, 0.7470)  1 In 2.95, 1 Ca 3.15
I (0.9162, 0.2680, 0.2543)  1 In 2.98, 1 Ca 3.16

Results
volume = 41.16 Å³/atom
mass density = 4.6 g/cm³
raw formation energy = -15.86 kcal/mol of atoms
energy = -2.4428 eV/atom


- Which formula does entry 3 have?
  LiBeCd2Tc


- What is the formula in the fourth record?
  CaInI6